This record from Alexandria via LeMat-Bulk describes a relaxed structure of Na2Pu2CuSe6. The functional is PBE.

Summary:
**Symmetry**: C2/m
**ΔE_f (raw)**: -10.728 eV per formula unit
**DOS at the Fermi energy**: 18.14 states/eV/f.u.

Cell lengths 7.0627, 7.0627, 7.4177 Å; angles 98.48, 98.48, 122.14 degrees
Fractional coordinates of all 11 atoms:
Se (0.5897, 0.9313, 0.2781)
Se (0.7655, 0.7655, 0.7041)
Se (0.2345, 0.2345, 0.2959)
Se (0.0687, 0.4103, 0.7219)
Se (0.4103, 0.0687, 0.7219)
Se (0.9313, 0.5897, 0.2781)
Cu (0.0000, 0.0000, 0.5000)
Pu (0.3357, 0.6643, 0.5000)
Pu (0.6643, 0.3357, 0.5000)
Na (0.1626, 0.8374, 0.0000)
Na (0.8374, 0.1626, 0.0000)

---

This record from Alexandria via LeMat-Bulk describes a relaxed structure of Na4Pu3CuSe8. The functional is PBE.

Summary:
**Symmetry**: R-3m
**ΔE_f (raw)**: -18.460 eV per formula unit
**DOS at the Fermi energy**: 26.88 states/eV/f.u.

Cell lengths 8.2208, 8.3971, 8.2257 Å; angles 119.33, 119.98, 90.00 degrees
Fractional coordinates of all 16 atoms:
Se (0.7484, 0.7208, 0.9845)
Se (0.7639, 0.2792, 0.0155)
Se (0.2361, 0.7208, 0.9845)
Se (0.7442, 0.7326, 0.4884)
Se (0.7630, 0.2785, 0.5260)
Se (0.2516, 0.2792, 0.0155)
Se (0.2370, 0.7215, 0.4740)
Se (0.2558, 0.2674, 0.5116)
Na (0.5000, 0.0000, 0.0000)
Na (0.0000, 0.0000, 0.0000)
Na (0.0000, 0.0000, 0.5000)
Na (0.5000, 0.0000, 0.5000)
Pu (0.5000, 0.5000, 0.5000)
Pu (0.5000, 0.5000, 0.0000)
Pu (0.0000, 0.5000, 0.5000)
Cu (0.0000, 0.5000, 0.0000)

---

This record from Alexandria via LeMat-Bulk describes a relaxed structure of NaPuCuSe3. The functional is PBE.

Summary:
**Symmetry**: P2_1/m
**ΔE_f (raw)**: -6.042 eV per formula unit
**DOS at the Fermi energy**: 9.79 states/eV/f.u.

Cell lengths 4.0546, 8.4222, 9.1332 Å; angles 103.66, 90.00, 90.00 degrees
Fractional coordinates of all 12 atoms:
Se (0.7500, 0.4381, 0.1591)
Se (0.2500, 0.7782, 0.4802)
Se (0.7500, 0.2218, 0.5198)
Se (0.2500, 0.5619, 0.8409)
Se (0.2500, 0.0962, 0.8569)
Se (0.7500, 0.9038, 0.1431)
Na (0.2500, 0.1900, 0.2328)
Na (0.7500, 0.8100, 0.7672)
Cu (0.2500, 0.0805, 0.5832)
Cu (0.7500, 0.9195, 0.4168)
Pu (0.2500, 0.6779, 0.1633)
Pu (0.7500, 0.3221, 0.8367)

---

This record from Alexandria via LeMat-Bulk describes a relaxed structure of Na3Pu2CuTe6. The functional is PBE.

Summary:
**Symmetry**: C2/m
**ΔE_f (raw)**: -8.872 eV per formula unit
**DOS at the Fermi energy**: 22.60 states/eV/f.u.

Cell lengths 7.5519, 7.5519, 7.8734 Å; angles 99.19, 99.19, 120.06 degrees
Fractional coordinates of all 12 atoms:
Te (0.0739, 0.3915, 0.2225)
Te (0.7570, 0.7570, 0.2230)
Te (0.6085, 0.9261, 0.7775)
Te (0.3915, 0.0739, 0.2225)
Te (0.2430, 0.2430, 0.7770)
Te (0.9261, 0.6085, 0.7775)
Na (0.5000, 0.5000, 0.5000)
Na (0.8287, 0.1713, 0.5000)
Na (0.1713, 0.8287, 0.5000)
Cu (0.0000, 0.0000, 0.0000)
Pu (0.6663, 0.3337, 0.0000)
Pu (0.3337, 0.6663, 0.0000)

---

This record from Alexandria via LeMat-Bulk describes a relaxed structure of Na2PuCuTe4. The functional is PBE.

Summary:
**Symmetry**: I-42m
**ΔE_f (raw)**: -4.436 eV per formula unit
**DOS at the Fermi energy**: 14.70 states/eV/f.u.

Cell lengths 7.4416, 6.5547, 6.5547 Å; angles 71.20, 55.41, 55.41 degrees
Fractional coordinates of all 8 atoms:
Na (0.0000, 0.5000, 0.5000)
Na (0.5000, 0.5000, 0.5000)
Pu (0.0000, 0.0000, 0.0000)
Te (0.8995, 0.0000, 0.6009)
Te (0.4996, 0.6009, 0.0000)
Te (0.1005, 0.3991, 0.0000)
Te (0.5004, 0.0000, 0.3991)
Cu (0.5000, 0.0000, 0.0000)

---

This record from Alexandria via LeMat-Bulk describes a relaxed structure of Na3Pu3CuTe8. The functional is PBE.

Summary:
**Symmetry**: C2/m
**ΔE_f (raw)**: -11.097 eV per formula unit
**DOS at the Fermi energy**: 37.20 states/eV/f.u.

Cell lengths 8.8046, 8.7243, 9.0508 Å; angles 118.45, 90.00, 120.30 degrees
Fractional coordinates of all 15 atoms:
Te (0.7615, 0.0141, 0.2768)
Te (0.7475, 0.9859, 0.7232)
Te (0.2385, 0.9859, 0.7232)
Te (0.7864, 0.5728, 0.2965)
Te (0.7456, 0.4913, 0.7359)
Te (0.2136, 0.4272, 0.7035)
Te (0.2525, 0.0141, 0.2768)
Te (0.2544, 0.5087, 0.2641)
Pu (0.5000, 0.0000, 0.5000)
Pu (0.5000, 0.5000, 0.5000)
Pu (0.0000, 0.5000, 0.5000)
Na (0.0000, 0.0000, 0.0000)
Na (0.5000, 0.5000, 0.0000)
Na (0.0000, 0.5000, 0.0000)
Cu (0.0000, 0.0000, 0.5000)

---

This record from Alexandria via LeMat-Bulk describes a relaxed structure of RbNa2Cu. The functional is PBE.

Summary:
**Symmetry**: I-42d
**Polymorph energy (0 for the lowest one)**: 0.016 eV/atom
**Formation energy from the elements**: 0.35 eV per atom
**DOS at the Fermi energy**: 1.51 states/eV/f.u.

Cell lengths 4.9909, 4.9909, 12.4480 Å; angles 78.44, 78.44, 90.00 degrees
Fractional coordinates of all 8 atoms:
Na (0.1763, 0.6250, 0.2500)
Na (0.8750, 0.8237, 0.7500)
Na (0.5737, 0.1250, 0.2500)
Na (0.3750, 0.4263, 0.7500)
Cu (0.5000, 0.5000, 0.0000)
Cu (0.2500, 0.7500, 0.5000)
Rb (0.7500, 0.2500, 0.5000)
Rb (0.0000, 0.0000, 0.0000)

---

This record from Alexandria via LeMat-Bulk describes a relaxed structure of RbNaCu. The functional is PBE.

Summary:
**Symmetry**: Pm
**Polymorph energy (0 for the lowest one)**: 0.000 eV/atom
**Formation energy from the elements**: 0.21 eV per atom
**DOS at the Fermi energy**: 0.94 states/eV/f.u.

Cell lengths 6.9220, 4.3210, 7.8944 Å; angles 90.00, 98.94, 90.00 degrees
Fractional coordinates of all 6 atoms:
Cu (0.9658, 0.5000, 0.6039)
Cu (0.0923, 0.0000, 0.5394)
Na (0.0936, 0.5000, 0.2655)
Na (0.9661, 0.0000, 0.8776)
Rb (0.6136, 0.0000, 0.3494)
Rb (0.4460, 0.5000, 0.7895)

---

Copy entry 3 word for word.
This record from Alexandria via LeMat-Bulk describes a relaxed structure of NaPuCuSe3. The functional is PBE.

Summary:
**Symmetry**: P2_1/m
**ΔE_f (raw)**: -6.042 eV per formula unit
**DOS at the Fermi energy**: 9.79 states/eV/f.u.

Cell lengths 4.0546, 8.4222, 9.1332 Å; angles 103.66, 90.00, 90.00 degrees
Fractional coordinates of all 12 atoms:
Se (0.7500, 0.4381, 0.1591)
Se (0.2500, 0.7782, 0.4802)
Se (0.7500, 0.2218, 0.5198)
Se (0.2500, 0.5619, 0.8409)
Se (0.2500, 0.0962, 0.8569)
Se (0.7500, 0.9038, 0.1431)
Na (0.2500, 0.1900, 0.2328)
Na (0.7500, 0.8100, 0.7672)
Cu (0.2500, 0.0805, 0.5832)
Cu (0.7500, 0.9195, 0.4168)
Pu (0.2500, 0.6779, 0.1633)
Pu (0.7500, 0.3221, 0.8367)